Density functional theory data (GGA-PBE) for an optimized crystal structure of Rb2Y2USe6.

a b c (Å): 7.2434 7.2434 8.5544
angles (deg): 98.27 98.27 119.87
With the nearest neighbours (Å) after each atom.
Fractional coordinates of all 11 atoms:
Rb1 0.1685 0.8315 0.0000  6 Se 3.49-3.50
Rb2 0.8315 0.1685 0.0000  6 Se 3.49-3.50
Y1 0.3333 0.6667 0.5000  6 Se 2.89-2.90
Y2 0.6667 0.3333 0.5000  6 Se 2.89-2.90
U1 0.0000 0.0000 0.5000  6 Se 2.85-2.86
Se1 0.0648 0.3941 0.6916  1 U 2.86, 2 Y 2.89-2.90
Se2 0.2639 0.2639 0.3091  1 U 2.85, 2 Y 2.89
Se3 0.3941 0.0648 0.6916  1 U 2.86, 2 Y 2.89-2.90
Se4 0.6059 0.9352 0.3084  1 U 2.86, 2 Y 2.89-2.90
Se5 0.7361 0.7361 0.6909  1 U 2.85, 2 Y 2.89
Se6 0.9352 0.6059 0.3084  1 U 2.86, 2 Y 2.89-2.90

Values from the calculation:
- Space-group type: C2/m, No. 12
- Formation energy from raw total energies: -1.597 eV per atom

=====

Density functional theory data (GGA-PBE) for an optimized crystal structure of Rb4Y3USe8.

a b c (Å): 9.3970 9.3970 9.3970
angles (deg): 53.87 53.87 53.87
With the nearest neighbours (Å) after each atom.
Fractional coordinates of all 16 atoms:
Rb1 0.0000 0.0000 0.0000  6 Se 3.45
Rb2 0.0000 0.5000 0.5000  6 Se 3.46
Rb3 0.5000 0.0000 0.5000  6 Se 3.46
Rb4 0.5000 0.5000 0.0000  6 Se 3.46
Y1 0.0000 0.0000 0.5000  6 Se 2.91-2.92
Y2 0.0000 0.5000 0.0000  6 Se 2.91-2.92
Y3 0.5000 0.0000 0.0000  6 Se 2.91-2.92
U1 0.5000 0.5000 0.5000  6 Se 2.93
Se1 0.2304 0.7331 0.7331  2 Y 2.91, 1 U 2.93
Se2 0.2319 0.2319 0.2319  3 Y 2.92
Se3 0.2669 0.2669 0.7696  2 Y 2.91, 1 U 2.93
Se4 0.2669 0.7696 0.2669  2 Y 2.91, 1 U 2.93
Se5 0.7331 0.2304 0.7331  2 Y 2.91, 1 U 2.93
Se6 0.7331 0.7331 0.2304  2 Y 2.91, 1 U 2.93
Se7 0.7681 0.7681 0.7681  3 Y 2.92
Se8 0.7696 0.2669 0.2669  2 Y 2.91, 1 U 2.93

Values from the calculation:
- Space-group type: R-3m, No. 166
- Formation energy from raw total energies: -1.600 eV per atom